An optimized crystal structure of Fe10O9F11. Source: the Alexandria database, functional PBE with a Hubbard U.

Cell lengths 4.6341, 4.6341, 15.0669 Å; angles 90.06, 90.06, 95.37 degrees
Closest atoms and distances in Å follow each position.
Fractional coordinates of all 30 atoms:
Fe: 0.0000 0.0000 0.0000  3 O 1.95, 2 F 2.08
Fe: 0.0286 0.9697 0.4029  4 O 1.91-1.93
Fe: 0.0301 0.9647 0.2082  3 O 1.88-1.91, 3 F 2.01-2.10
Fe: 0.0303 0.9714 0.5971  4 O 1.91-1.93
Fe: 0.0353 0.9699 0.7918  3 O 1.88-1.91, 3 F 2.01-2.10
Fe: 0.5141 0.4370 0.9016  2 O 1.87-1.92, 3 F 1.99-2.06
Fe: 0.5292 0.4698 0.3022  2 O 1.87-1.90, 4 F 1.98-1.99
Fe: 0.5298 0.4702 0.5000  2 O 1.89, 4 F 1.94
Fe: 0.5302 0.4708 0.6978  2 O 1.87-1.90, 4 F 1.98-1.99
Fe: 0.5630 0.4859 0.0984  2 O 1.87-1.92, 3 F 1.99-2.06
O: 0.2041 0.1504 0.8940  3 Fe 1.87-1.95
O: 0.2256 0.1657 0.3052  3 Fe 1.90-1.92
O: 0.2268 0.1674 0.5004  3 Fe 1.89-1.92
O: 0.2341 0.1663 0.6954  3 Fe 1.87-1.93
O: 0.7156 0.2844 0.0000  3 Fe 1.92-1.95
O: 0.8326 0.7732 0.4996  3 Fe 1.89-1.92
O: 0.8337 0.7659 0.3046  3 Fe 1.87-1.93
O: 0.8343 0.7744 0.6948  3 Fe 1.90-1.92
O: 0.8496 0.7959 0.1060  3 Fe 1.87-1.95
F: 0.2309 0.1839 0.1074  3 Fe 1.99-2.08
F: 0.3300 0.6700 0.0000  3 Fe 2.06-2.26
F: 0.3319 0.6600 0.7950  3 Fe 1.98-2.13
F: 0.3400 0.6681 0.2050  3 Fe 1.98-2.13
F: 0.3428 0.6542 0.4029  3 Fe 1.94-2.16
F: 0.3458 0.6572 0.5971  3 Fe 1.94-2.16
F: 0.7148 0.2833 0.4030  3 Fe 1.94-2.15
F: 0.7167 0.2852 0.5970  3 Fe 1.94-2.15
F: 0.7235 0.2722 0.7949  3 Fe 1.99-2.10
F: 0.7278 0.2765 0.2051  3 Fe 1.99-2.10
F: 0.8161 0.7691 0.8926  3 Fe 1.99-2.08

Values from the calculation:
- total DFT energy (no corrections) (eV per atom) = -5.391